# 1
First-principles (PBE) data for BeRhW2 after structural relaxation, as listed in Alexandria.

a b c (Å): 3.653 3.653 8.447
angles (deg): 90.00 90.00 90.00
Space group I4/mmm (No. 139)
Inequivalent atoms, fractional coordinates:
Be (0.000, 0.000, 0.000) (multiplicity 2)
Rh (0.000, 0.000, 0.500) (multiplicity 2)
W (0.000, 0.500, 0.250) (multiplicity 4)

ΔE_f, eV/atom: 0.056
Density, g/cm3: 14.13
DOS at the Fermi energy, states/eV/cell: 4.66



# 2
First-principles (PBE) data for CeSm6Er2Tm3 after structural relaxation, as listed in Alexandria.

a b c (Å): 6.187 10.717 11.771
angles (deg): 90.00 100.10 90.00
Space group C2/m (No. 12)
Inequivalent atoms, fractional coordinates:
Ce (0.000, 0.000, 0.000) (multiplicity 2)
Sm (0.248, 0.000, 0.749) (multiplicity 4)
Sm (0.249, 0.166, 0.251) (multiplicity 8)
Er (0.000, 0.334, 0.000) (multiplicity 4)
Tm (0.000, 0.167, 0.500) (multiplicity 4)
Tm (0.000, 0.500, 0.500) (multiplicity 2)

ΔE_f, eV/atom: 0.040
Density, g/cm3: 8.14
DOS at the Fermi energy, states/eV/cell: 37.03



# 3
First-principles (PBE) data for Ir2OsBr after structural relaxation, as listed in Alexandria.

a b c (Å): 4.160 4.160 7.243
angles (deg): 90.00 90.00 90.00
Space group I-4m2 (No. 119)
Inequivalent atoms, fractional coordinates:
Ir (0.000, 0.000, 0.000) (multiplicity 2)
Ir (0.000, 0.500, 0.250) (multiplicity 2)
Os (0.000, 0.500, 0.750) (multiplicity 2)
Br (0.000, 0.000, 0.500) (multiplicity 2)

Density, g/cm3: 17.35
Uncorrected formation energy, kJ/mol of formula units: 471
DOS at the Fermi energy, states/eV/cell: 7.29



# 4
First-principles (PBE) data for Ba2Mg3GaGe4 after structural relaxation, as listed in Alexandria.

a b c (Å): 4.716 4.716 11.173
angles (deg): 90.00 90.00 90.00
Space group P-4m2 (No. 115)
Inequivalent atoms, fractional coordinates:
Ba (0.000, 0.500, 0.249) (multiplicity 2)
Mg (0.000, 0.500, 0.873) (multiplicity 2)
Mg (0.500, 0.500, 0.500) (multiplicity 1)
Ga (0.000, 0.000, 0.500) (multiplicity 1)
Ge (0.000, 0.000, 0.000) (multiplicity 1)
Ge (0.000, 0.500, 0.629) (multiplicity 2)
Ge (0.500, 0.500, 0.000) (multiplicity 1)

ΔE_f, eV/atom: -0.415
Density, g/cm3: 4.73
DOS at the Fermi energy, states/eV/cell: 3.87



# 5
First-principles (PBE) data for RbCd3Pd after structural relaxation, as listed in Alexandria.

a b c (Å): 5.348 5.348 5.348
angles (deg): 90.00 90.00 90.00
Space group Pm-3m (No. 221)
Inequivalent atoms, fractional coordinates:
Rb (0.000, 0.000, 0.000) (multiplicity 1)
Cd (0.000, 0.500, 0.500) (multiplicity 3)
Pd (0.500, 0.500, 0.500) (multiplicity 1)

ΔE_f, eV/atom: -0.189
Density, g/cm3: 5.74
DOS at the Fermi energy, states/eV/cell: 2.71



# 6
First-principles (PBE) data for FeRe3P after structural relaxation, as listed in Alexandria.

a b c (Å): 4.415 4.415 4.415
angles (deg): 90.00 90.00 90.00
Space group Pm-3m (No. 221)
Inequivalent atoms, fractional coordinates:
Fe (0.000, 0.000, 0.000) (multiplicity 1)
Re (0.000, 0.000, 0.500) (multiplicity 3)
P (0.500, 0.500, 0.500) (multiplicity 1)

ΔE_f, eV/atom: 1.810
Density, g/cm3: 12.45
DOS at the Fermi energy, states/eV/cell: 6.46



Question: What is the DOS at the Fermi energy in the fourth record?
Answer: 3.87 states/eV/cell